No. 1
VASP calculation (PBE) on a relaxed MnInCo2 crystal. Values from VASP.

## Properties
Calculated formation energy ... 124 meV/atom

Quantum ESPRESSO input file:
```
&SYSTEM
  ibrav = 0, nat = 4, ntyp = 3
/
ATOMIC_SPECIES
Co 58.93 Co.upf
In 114.82 In.upf
Mn 54.94 Mn.upf
CELL_PARAMETERS angstrom
4.1116 0.5280 0.0000
-0.5243 4.1121 0.0000
0.0000 0.0000 3.1425
ATOMIC_POSITIONS angstrom
Co 0.0000 0.0000 0.0000
Co 1.7937 2.3201 0.0000
In 2.0558 0.2640 1.5713
Mn -0.2621 2.0561 1.5713
```


No. 2
VASP calculation (PBE) on a relaxed Nd4Hg2I3 crystal. Values from VASP.

## Properties
ΔE_f (raw) ... -0.81 eV per atom

Quantum ESPRESSO input file:
```
&SYSTEM
  ibrav = 0, nat = 9, ntyp = 3
/
ATOMIC_SPECIES
Nd 144.24 Nd.upf
Hg 200.59 Hg.upf
I 126.90 I.upf
CELL_PARAMETERS angstrom
4.3125 0.0001 0.0047
-2.1563 3.7347 -0.0047
-0.0033 0.0019 20.1747
ATOMIC_POSITIONS angstrom
Nd -0.0009 2.4904 17.9568
Nd 4.3059 0.0039 6.0134
Nd -2.1530 3.7328 14.1613
Nd 2.1538 1.2464 2.2180
Hg 2.1574 1.2443 16.1028
Hg -0.0045 2.4925 4.0719
I 2.1474 1.2501 8.0572
I 0.0000 0.0000 0.0000
I 0.0055 2.4867 12.1176
```


No. 3
VASP calculation (PBE) on a relaxed Ca5ReN4F2 crystal. Values from VASP.

## Properties
ΔE_f (raw) ... -1.42 eV per atom

Quantum ESPRESSO input file:
```
&SYSTEM
  ibrav = 0, nat = 12, ntyp = 4
/
ATOMIC_SPECIES
Ca 40.08 Ca.upf
Re 186.21 Re.upf
N 14.01 N.upf
F 19.00 F.upf
CELL_PARAMETERS angstrom
-3.7605 4.3775 1.2557
0.1480 -4.7492 3.1102
4.6194 2.8034 4.0609
ATOMIC_POSITIONS angstrom
Ca 0.8836 -0.6923 2.0882
Ca 0.7922 3.1682 2.5372
Ca 3.3553 0.8077 4.2611
Ca 0.9278 2.1875 6.0699
Ca -1.5439 0.6875 3.8970
Re -1.4087 1.6398 0.4704
N -1.4048 3.2699 1.5887
N 1.3685 4.9529 4.0268
N -1.3610 0.0884 1.4872
N -0.0807 -2.9870 2.1539
F -1.2638 3.0483 4.9587
F 0.7866 1.1110 3.9637
```


No. 4
VASP calculation (PBE) on a relaxed MnHOs3 crystal. Values from VASP.

## Properties
Energy relative to the lowest polymorph listed for this composition ... 0.000 eV per atom

Quantum ESPRESSO input file:
```
&SYSTEM
  ibrav = 0, nat = 5, ntyp = 3
/
ATOMIC_SPECIES
H 1.01 H.upf
Mn 54.94 Mn.upf
Os 190.23 Os.upf
CELL_PARAMETERS angstrom
-2.8218 1.9227 1.7705
-2.3384 -3.0212 -0.4460
1.1678 -1.4036 3.3854
ATOMIC_POSITIONS angstrom
H 0.0000 0.0000 0.0000
Mn -1.9962 -1.2510 2.3550
Os -1.1692 -1.5106 -0.2230
Os 0.5839 -0.7018 1.6927
Os -1.4109 0.9614 0.8853
```


No. 5
VASP calculation (PBE) on a relaxed Er4TlPd7 crystal. Values from VASP.

## Properties
Calculated formation energy ... -663 meV/atom

Quantum ESPRESSO input file:
```
&SYSTEM
  ibrav = 0, nat = 12, ntyp = 3
/
ATOMIC_SPECIES
Er 167.26 Er.upf
Tl 204.38 Tl.upf
Pd 106.42 Pd.upf
CELL_PARAMETERS angstrom
5.2108 0.0000 0.0000
2.6054 8.9804 -0.0986
2.6054 0.2331 5.4117
ATOMIC_POSITIONS angstrom
Er 5.2108 2.0746 3.2284
Er 5.2108 7.1389 2.0847
Er 7.8162 5.8842 4.2061
Er 2.6054 3.3293 1.1070
Tl 0.0000 0.0000 0.0000
Pd 7.8162 8.2550 2.7190
Pd 2.6054 0.9585 2.5941
Pd 2.6054 6.1604 0.8534
Pd 7.8162 3.0530 4.4597
Pd 5.2108 4.8671 3.9767
Pd 2.6054 0.0000 0.0000
Pd 5.2108 4.3464 1.3364
```


No. 6
VASP calculation (PBE) on a relaxed CaCeHg4 crystal. Values from VASP.

## Properties
Energy relative to the lowest polymorph listed for this composition ... 0.154 eV per atom
Calculated formation energy ... -212 meV/atom

Quantum ESPRESSO input file:
```
&SYSTEM
  ibrav = 0, nat = 6, ntyp = 3
/
ATOMIC_SPECIES
Ca 40.08 Ca.upf
Ce 140.12 Ce.upf
Hg 200.59 Hg.upf
CELL_PARAMETERS angstrom
3.6902 0.0000 0.0000
0.0000 8.3142 0.0275
0.0000 0.0193 5.6192
ATOMIC_POSITIONS angstrom
Ca 1.8451 4.1667 2.8233
Ce 0.0000 0.0000 0.0000
Hg 1.8451 5.6836 5.6310
Hg 1.8451 2.6499 0.0156
Hg 0.0000 1.5552 2.8070
Hg 0.0000 6.7783 2.8397
```


No. 7
VASP calculation (PBE) on a relaxed SnPd3Pb crystal. Values from VASP.

## Properties
Energy relative to the lowest polymorph listed for this composition ... 0.000 eV per atom
Calculated formation energy ... -325 meV/atom

Quantum ESPRESSO input file:
```
&SYSTEM
  ibrav = 0, nat = 10, ntyp = 3
/
ATOMIC_SPECIES
Sn 118.71 Sn.upf
Pd 106.42 Pd.upf
Pb 207.20 Pb.upf
CELL_PARAMETERS angstrom
-1.5100 -1.8632 -4.4051
-4.5464 -1.9755 5.2406
-2.7792 4.8214 -1.1495
ATOMIC_POSITIONS angstrom
Sn -1.8447 -0.9945 1.0540
Sn -6.9909 1.9773 -1.3681
Pd -3.4539 1.3420 0.5844
Pd -4.4474 2.0944 -2.2768
Pd -6.7246 -2.5708 0.5311
Pd -5.3817 -0.3592 -0.8985
Pd -2.1110 3.5536 -0.8452
Pd -4.3882 -1.1116 1.9627
Pb -6.2523 0.9619 1.6662
Pb -2.5833 0.0208 -1.9803
```


No. 8
VASP calculation (PBE) on a relaxed Pm7InBr12 crystal. Values from VASP.

## Properties
ΔE_f (raw) ... -1.54 eV per atom

Quantum ESPRESSO input file:
```
&SYSTEM
  ibrav = 0, nat = 20, ntyp = 3
/
ATOMIC_SPECIES
Pm 145.00 Pm.upf
In 114.82 In.upf
Br 79.90 Br.upf
CELL_PARAMETERS angstrom
-4.6620 -8.0595 2.0678
9.2888 -1.9892 -0.8529
-1.1517 6.1218 7.2223
ATOMIC_POSITIONS angstrom
Pm 0.6252 -3.6085 7.7311
Pm -0.5135 -2.7445 0.9623
Pm -0.5286 1.0201 2.7207
Pm 1.7375 -1.9634 4.2186
Pm 4.0037 -4.9470 5.7166
Pm 3.9886 -1.1824 7.4749
Pm 2.8499 -0.3184 0.7062
In 0.0000 0.0000 0.0000
Br -2.3713 -3.3003 7.2504
Br -1.2457 -5.5847 1.8003
Br -1.1846 -1.7512 3.7131
Br 1.0992 -4.7640 4.9860
Br -1.1366 2.2968 5.4236
Br 1.0652 -0.7716 6.8581
Br 2.4099 -3.1553 1.5791
Br 4.6117 -6.2237 3.0137
Br 2.3759 0.8371 3.4513
Br 4.6597 -2.1757 4.7242
Br 4.7208 1.6578 6.6370
Br 5.8464 -0.6266 1.1868
```


No. 9
VASP calculation (PBE) on a relaxed TlAg5S4 crystal. Values from VASP.

## Properties
ΔE_f (raw) ... -0.03 eV per atom

Quantum ESPRESSO input file:
```
&SYSTEM
  ibrav = 0, nat = 20, ntyp = 3
/
ATOMIC_SPECIES
Tl 204.38 Tl.upf
Ag 107.87 Ag.upf
S 32.06 S.upf
CELL_PARAMETERS angstrom
-6.1549 -0.8566 0.2197
1.0115 -5.5786 6.5870
-0.6838 6.3110 5.4498
ATOMIC_POSITIONS angstrom
Tl -4.5405 -0.6319 0.1620
Tl -1.4505 0.1415 6.0760
Ag -1.0428 0.3687 9.8917
Ag -1.6931 3.9550 5.6572
Ag -3.9069 -3.4034 3.4510
Ag -0.6139 -3.5894 6.4737
Ag -1.2642 -0.0031 2.2392
Ag -4.3656 -2.4797 6.3514
Ag -4.7269 -0.4874 3.9989
Ag -2.0842 2.9130 2.7871
Ag -4.9818 1.8655 6.0307
Ag -4.6206 -0.1269 8.3832
S -6.2144 3.7415 4.1230
S -2.3695 -4.6261 5.0598
S -2.8776 -1.8235 1.7506
S -5.9148 0.9766 1.7353
S -0.0762 -1.4670 4.5027
S -2.6101 -1.4429 7.7653
S -3.1134 1.3331 4.4875
S -0.4605 2.0790 7.5649
```


No. 10
VASP calculation (PBE) on a relaxed La2TbAl crystal. Values from VASP.

## Properties
Energy relative to the lowest polymorph listed for this composition ... 0.058 eV per atom
Calculated formation energy ... -129 meV/atom

Quantum ESPRESSO input file:
```
&SYSTEM
  ibrav = 0, nat = 4, ntyp = 3
/
ATOMIC_SPECIES
Tb 158.93 Tb.upf
Al 26.98 Al.upf
La 138.91 La.upf
CELL_PARAMETERS angstrom
3.7345 0.0000 0.0000
0.0000 3.7345 0.0000
0.0000 0.0000 8.9662
ATOMIC_POSITIONS angstrom
Tb 1.8672 1.8672 4.4831
Al 1.8672 1.8672 0.0000
La 0.0000 0.0000 7.0526
La 0.0000 0.0000 1.9136
```


No. 11
VASP calculation (PBE) on a relaxed Pr2Ga3Sn crystal. Values from VASP.

## Properties
Calculated formation energy ... -662 meV/atom

Quantum ESPRESSO input file:
```
&SYSTEM
  ibrav = 0, nat = 12, ntyp = 3
/
ATOMIC_SPECIES
Pr 140.91 Pr.upf
Ga 69.72 Ga.upf
Sn 118.71 Sn.upf
CELL_PARAMETERS angstrom
-4.4434 4.2939 0.4803
-1.9356 -2.7043 5.2299
7.9062 3.6346 1.1809
ATOMIC_POSITIONS angstrom
Pr 1.3905 0.8625 4.6330
Pr -4.7742 1.1897 4.2737
Pr 0.1366 4.3616 2.2582
Pr -1.6048 0.3999 1.4366
Ga -1.7808 -0.3078 4.7358
Ga 4.6086 1.9024 4.6188
Ga 3.3079 5.5320 2.1554
Ga -3.0814 3.3218 2.2724
Ga 1.5104 1.4184 1.2925
Ga 0.0167 3.8057 5.5987
Sn -1.6120 2.2763 4.2050
Sn 3.1391 2.9479 2.6861
```


No. 12
VASP calculation (PBE) on a relaxed Ce4Th3In4 crystal. Values from VASP.

## Properties
Calculated formation energy ... -100 meV/atom

Quantum ESPRESSO input file:
```
&SYSTEM
  ibrav = 0, nat = 11, ntyp = 3
/
ATOMIC_SPECIES
Ce 140.12 Ce.upf
Th 232.04 Th.upf
In 114.82 In.upf
CELL_PARAMETERS angstrom
3.4526 0.0000 0.0000
0.0000 8.5596 0.0000
-1.7263 -4.2798 10.8568
ATOMIC_POSITIONS angstrom
Ce 0.0000 4.2798 5.4646
Ce 1.7263 0.0000 5.3923
Ce 1.7263 7.1734 0.0000
Ce 1.7263 1.3862 0.0000
Th 0.0000 0.0000 2.7422
Th 1.7263 4.2798 8.1146
Th 0.0000 4.2798 0.0000
In 0.0000 -1.4599 7.8889
In 1.7263 2.8198 2.9680
In 1.7263 5.7397 2.9680
In 0.0000 1.4599 7.8889
```


No. 13
VASP calculation (PBE) on a relaxed Sc2Os2S crystal. Values from VASP.

## Properties
ΔE_f (raw) ... 0.19 eV per atom
Energy relative to the lowest polymorph listed for this composition ... 0.584 eV per atom

Quantum ESPRESSO input file:
```
&SYSTEM
  ibrav = 0, nat = 10, ntyp = 3
/
ATOMIC_SPECIES
Sc 44.96 Sc.upf
S 32.06 S.upf
Os 190.23 Os.upf
CELL_PARAMETERS angstrom
-4.4354 4.6970 4.4924
-5.3817 -5.7037 0.6500
1.4279 -1.0603 2.5183
ATOMIC_POSITIONS angstrom
Sc -5.7572 -3.1663 1.9313
Sc -7.3038 -0.1065 4.0964
Sc -4.0599 2.1596 3.2112
Sc -2.5133 -0.9002 1.0460
S 0.0000 0.0000 0.0000
S -4.9085 -0.5033 2.5712
Os -3.0010 -3.4870 2.1206
Os -6.7867 -2.8003 4.5562
Os -5.3882 1.4200 5.5401
Os -1.6025 0.7334 3.1045
```


No. 14
VASP calculation (PBE) on a relaxed LaAl2Os crystal. Values from VASP.

## Properties
Calculated formation energy ... 61 meV/atom

Quantum ESPRESSO input file:
```
&SYSTEM
  ibrav = 0, nat = 4, ntyp = 3
/
ATOMIC_SPECIES
Os 190.23 Os.upf
Al 26.98 Al.upf
La 138.91 La.upf
CELL_PARAMETERS angstrom
-3.1341 1.4447 2.2594
0.2832 -3.2844 2.4794
3.0234 2.3109 2.7161
ATOMIC_POSITIONS angstrom
Os 1.6533 -0.4867 2.5977
Al 0.0000 0.0000 0.0000
Al -1.4255 -0.9198 2.3694
La -0.0554 1.8778 2.4878
```


No. 15
VASP calculation (PBE) on a relaxed La2NdAl crystal. Values from VASP.

## Properties
Energy relative to the lowest polymorph listed for this composition ... 0.012 eV per atom
Calculated formation energy ... -180 meV/atom

Quantum ESPRESSO input file:
```
&SYSTEM
  ibrav = 0, nat = 8, ntyp = 3
/
ATOMIC_SPECIES
La 138.91 La.upf
Nd 144.24 Nd.upf
Al 26.98 Al.upf
CELL_PARAMETERS angstrom
6.0948 0.0000 3.4976
2.0578 5.7079 3.4732
0.0390 -0.0325 6.9911
ATOMIC_POSITIONS angstrom
La 1.0484 2.8377 5.2322
La 3.0474 0.0000 1.7488
La 0.0195 -0.0162 3.4955
La 3.0669 -0.0162 5.2443
Nd 1.0289 2.8539 1.7366
Nd 4.0763 2.8539 3.4854
Al 0.0000 0.0000 0.0000
Al 4.0958 2.8377 6.9810
```


No. 16
VASP calculation (PBE) on a relaxed Ga3CuN crystal. Values from VASP.

## Properties
ΔE_f (raw) ... 0.99 eV per atom
Energy relative to the lowest polymorph listed for this composition ... 0.458 eV per atom

Quantum ESPRESSO input file:
```
&SYSTEM
  ibrav = 0, nat = 5, ntyp = 3
/
ATOMIC_SPECIES
Cu 63.55 Cu.upf
Ga 69.72 Ga.upf
N 14.01 N.upf
CELL_PARAMETERS angstrom
4.5845 0.0000 0.0000
0.0000 4.5845 0.0000
0.0000 0.0000 4.5845
ATOMIC_POSITIONS angstrom
Cu 0.0000 0.0000 0.0000
Ga 0.0000 2.2922 0.0000
Ga 0.0000 0.0000 2.2922
Ga 2.2922 0.0000 0.0000
N 2.2922 2.2922 2.2922
```


No. 17
VASP calculation (PBE) on a relaxed Rb2NpRu3O12 crystal. Values from VASP.

## Properties
ΔE_f (raw) ... -1.50 eV per atom

Quantum ESPRESSO input file:
```
&SYSTEM
  ibrav = 0, nat = 18, ntyp = 4
/
ATOMIC_SPECIES
Rb 85.47 Rb.upf
Np 237.00 Np.upf
Ru 101.07 Ru.upf
O 16.00 O.upf
CELL_PARAMETERS angstrom
-0.6845 7.4014 0.9371
-4.3469 2.9770 5.3262
2.8307 3.5616 5.9522
ATOMIC_POSITIONS angstrom
Rb -1.3585 8.6050 7.5405
Rb -0.8422 5.3350 4.6751
Np 0.0000 0.0000 0.0000
Ru -0.3423 3.7007 0.4686
Ru -2.1734 1.4885 2.6631
Ru 1.4154 1.7808 2.9761
O 1.0832 6.4769 7.4328
O -3.7279 10.7937 7.7697
O -1.6311 8.5033 10.7612
O -1.0984 8.8599 4.3204
O 0.5535 11.1424 8.1431
O -3.3713 6.1142 7.0443
O -3.2839 7.4631 4.7828
O 1.5272 3.1463 4.4459
O -0.5696 5.4367 1.4544
O -1.1023 5.0801 7.8952
O -2.7542 2.7976 4.0725
O 1.1706 7.8258 5.1713
```


No. 18
VASP calculation (PBE) on a relaxed Zr2Ga3Tc crystal. Values from VASP.

## Properties
Energy relative to the lowest polymorph listed for this composition ... 0.389 eV per atom
Calculated formation energy ... -108 meV/atom

Quantum ESPRESSO input file:
```
&SYSTEM
  ibrav = 0, nat = 6, ntyp = 3
/
ATOMIC_SPECIES
Zr 91.22 Zr.upf
Ga 69.72 Ga.upf
Tc 98.00 Tc.upf
CELL_PARAMETERS angstrom
-2.6057 0.1519 2.1511
0.0083 -5.3437 0.3874
5.2963 2.9514 3.5481
ATOMIC_POSITIONS angstrom
Zr 0.0753 0.1985 2.7363
Zr 2.6236 -2.4389 3.3503
Ga 2.7832 0.2475 3.3539
Ga 0.0000 0.0000 0.0000
Ga -0.0843 -2.4879 2.7328
Tc 0.0041 -2.6719 0.1937
```


No. 19
VASP calculation (PBE) on a relaxed Pm7Pr12Sm crystal. Values from VASP.

## Properties
Energy relative to the lowest polymorph listed for this composition ... 0.000 eV per atom
Calculated formation energy ... 142 meV/atom

Quantum ESPRESSO input file:
```
&SYSTEM
  ibrav = 0, nat = 20, ntyp = 3
/
ATOMIC_SPECIES
Pm 145.00 Pm.upf
Pr 140.91 Pr.upf
Sm 150.36 Sm.upf
CELL_PARAMETERS angstrom
9.5676 -0.1673 -0.2511
-2.8211 9.1438 -0.2511
-2.8211 -3.7535 8.3417
ATOMIC_POSITIONS angstrom
Pm -3.5755 2.4125 8.1348
Pm 0.6140 -3.3487 7.2568
Pm -3.3873 6.8284 2.4800
Pm 1.9628 2.6115 3.9198
Pm 7.3129 -1.6054 5.3596
Pm 3.3115 8.5717 0.5827
Pm 7.5010 2.8105 -0.2953
Pr 4.9388 0.5151 4.5984
Pr 4.8040 2.8618 1.5582
Pr 2.6798 -0.6736 2.3505
Pr 5.3177 3.9732 4.7315
Pr 1.4131 -0.6458 5.5930
Pr 2.3379 1.9736 7.5559
Pr 1.5877 3.2494 0.2837
Pr 2.5124 5.8689 2.2465
Pr -1.3922 1.2498 3.1080
Pr 1.2457 5.8966 5.4891
Pr -0.8785 2.3612 6.2813
Pr -1.0133 4.7079 3.2411
Sm 0.0000 0.0000 0.0000
```


DOS at the Fermi energy per entry: 1.345, 0.826, 0.150, 1.130, 0.445, 1.679, 0.338, 0.548, 0.113, 1.455, 0.447, 1.818, 1.248, 0.645, 1.071, 0.640, 0.534, 0.631, 1.590 states/eV per atom